No. 1
This record from Alexandria via LeMat-Bulk describes a geometry-optimized KYNi2Br structure. The functional is PBEsol.

Lattice parameters (Å, degrees): 4.8535 4.8535 5.6684 90.00 90.00 90.00
Space group P4/mmm (No. 123)
Symmetry-distinct sites (fractional):
K: 0.0000 0.0000 0.0000
Y: 0.5000 0.5000 0.5000
Ni: 0.0000 0.5000 0.5000
Br: 0.5000 0.5000 0.0000

Density of states at the Fermi level in states/eV/cell: 3.55

---

No. 2
This record from Alexandria via LeMat-Bulk describes a geometry-optimized KBr2O2 structure. The functional is PBEsol.

Lattice parameters (Å, degrees): 7.7383 7.7383 3.7329 90.00 90.00 90.00
Space group P4/mbm (No. 127)
Symmetry-distinct sites (fractional):
K: 0.0000 0.0000 0.0000
Br: 0.1745 0.3255 0.5000
O: 0.2412 0.2588 0.0000

Density of states at the Fermi level in states/eV/cell: 4.85

---

No. 3
This record from Alexandria via LeMat-Bulk describes a geometry-optimized KBr3O structure. The functional is PBEsol.

Lattice parameters (Å, degrees): 4.8160 4.8160 4.8160 90.00 90.00 90.00
Space group Pm-3m (No. 221)
Symmetry-distinct sites (fractional):
K: 0.0000 0.0000 0.0000
Br: 0.0000 0.5000 0.5000
O: 0.5000 0.5000 0.5000

Density of states at the Fermi level in states/eV/cell: 2.32

---

What E_tot values result from the calculations? In sequence: -4.19 -3.43 -2.75 eV per atom.